# TlTcIr4 (GGA-PBE, optimized geometry)
# SG: No. 216
# Calculated formation energy: 0.639 eV per atom
# Total DFT energy (no corrections): -7.390 eV per atom
# Density: 17.57 Mg/m³
data_TlTcIr4
_chemical_formula_sum 'Tl1 Tc1 Ir4'
_space_group_name_H-M_alt 'P 1'
_space_group_IT_number 1
_space_group_name_Hall 'P 1'
_cell_length_a 5.2314
_cell_length_b 5.2314
_cell_length_c 5.2314
_cell_angle_alpha 60.00
_cell_angle_beta 60.00
_cell_angle_gamma 60.00
loop_
_atom_site_label
_atom_site_type_symbol
_atom_site_fract_x
_atom_site_fract_y
_atom_site_fract_z
Tl1 Tl 0.0000 0.0000 0.0000
Tc1 Tc 0.7500 0.7500 0.7500
Ir1 Ir 0.3752 0.3752 0.3752
Ir2 Ir 0.3752 0.3752 0.8744
Ir3 Ir 0.3752 0.8744 0.3752
Ir4 Ir 0.8744 0.3752 0.3752